(1)
Crystalline SmAg2BiSe4 at its relaxed geometry. Source: Alexandria, functional PBE.

Lattice parameters (Å, degrees): 6.970 4.234 7.340 90.00 110.79 90.00
Fractional positions:
Sm (0.000, 0.000, 0.000)
Ag (0.500, 0.000, 0.500)
Ag (0.500, 0.500, 0.000)
Bi (0.000, 0.500, 0.500)
Se (0.253, 0.500, 0.251)
Se (0.260, 0.000, 0.755)
Se (0.740, 0.000, 0.245)
Se (0.747, 0.500, 0.749)

Computed properties:
V = 202.5 Å³/f.u.
E_form (uncorrected) = -0.71 eV per atom
Density = 7.3 g cm⁻³
Raw total energy = -33.9 eV for the cell shown

***

(2)
Crystalline TaCu2Ir at its relaxed geometry. Source: Alexandria, functional PBE.

Lattice parameters (Å, degrees): 4.692 4.692 2.828 90.00 90.00 113.14
Fractional positions:
Ta (0.000, 0.000, 0.000)
Cu (0.000, 0.500, 0.500)
Cu (0.500, 0.000, 0.500)
Ir (0.500, 0.500, 0.000)

Computed properties:
V = 57.2 Å³/f.u.
Energy relative to the elements = 62.8 meV/atom
Density = 14.5 g cm⁻³
Raw total energy = -28.7 eV for the cell shown